[1]
The following is a DFT calculation (meta-GGA SCAN) of NaAcTl2 at its PBEsol-relaxed geometry.

Cell: 7.8206 7.8206 7.8206 Å, 90.00 90.00 90.00°
Space group Fm-3m (No. 225)
Symmetry-distinct sites (fractional):
Na (0.0000, 0.0000, 0.0000)
Ac (0.0000, 0.0000, 0.5000)
Tl (0.2500, 0.2500, 0.2500)

## Properties
Fermi-level density of states ... 5.34 states/eV/cell
E_tot ... -60.31 eV per atom
Crystal system ... cubic

=====

[2]
The following is a DFT calculation (meta-GGA SCAN) of Ac2O3 at its PBEsol-relaxed geometry.

Cell: 4.0625 4.0625 6.2225 Å, 90.00 90.00 120.00°
Space group P-3m1 (No. 164)
Symmetry-distinct sites (fractional):
Ac (0.3333, 0.6667, 0.2558)
O (0.0000, 0.0000, 0.5000)
O (0.3333, 0.6667, 0.8554)

## Properties
Fermi-level density of states ... 0.00 states/eV/cell
Crystal system ... trigonal
Energy relative to the elements, uncorrected ... -3649 meV/atom

=====

[3]
The following is a DFT calculation (meta-GGA SCAN) of AcPdO3 at its PBEsol-relaxed geometry.

Cell: 4.0231 4.0231 4.0231 Å, 90.00 90.00 90.00°
Space group Pm-3m (No. 221)
Symmetry-distinct sites (fractional):
Ac (0.0000, 0.0000, 0.0000)
Pd (0.5000, 0.5000, 0.5000)
O (0.0000, 0.5000, 0.5000)

## Properties
Fermi-level density of states ... 0.97 states/eV/cell
Crystal system ... cubic
Energy relative to the elements, uncorrected ... -2133 meV/atom

=====

[4]
The following is a DFT calculation (meta-GGA SCAN) of AcScO3 at its PBEsol-relaxed geometry.

Cell: 4.0761 4.0761 4.0761 Å, 90.00 90.00 90.00°
Space group Pm-3m (No. 221)
Symmetry-distinct sites (fractional):
Ac (0.0000, 0.0000, 0.0000)
Sc (0.5000, 0.5000, 0.5000)
O (0.0000, 0.5000, 0.5000)

## Properties
Fermi-level density of states ... 0.00 states/eV/cell
Crystal system ... cubic
Energy relative to the elements, uncorrected ... -3777 meV/atom